Entry 1:
Compound: Al2SiPt8
Source: the Alexandria database
Functional: GGA-PBE
Structure: relaxed

uncorrected formation energy: -652.7 meV/atom
VASP energy: -6.220 eV per atom
mass density: 16.0 g/cm3

Cell lengths 4.002, 5.480, 8.316 Å; angles 105.53, 103.92, 90.00 degrees
Atoms (fractional coordinates):
Pt  0.022  0.756  0.045
Pt  0.781  0.696  0.563
Pt  0.978  0.244  0.955
Pt  0.646  0.965  0.291
Pt  0.219  0.304  0.437
Pt  0.604  0.423  0.208
Pt  0.354  0.035  0.709
Pt  0.396  0.577  0.792
Si  0.500  0.000  0.000
Al  0.818  0.271  0.636
Al  0.182  0.729  0.364

Entry 2:
Compound: SnHgCl
Source: the Alexandria database
Functional: GGA-PBE
Structure: relaxed

E above lowest polymorph: 0.0945 eV per atom
uncorrected formation energy: -284.8 meV/atom
VASP energy: -2.335 eV per atom
mass density: 7.1 g/cm3

Cell lengths 3.464, 3.464, 7.965 Å; angles 90.00, 90.00, 120.00 degrees
Atoms (fractional coordinates):
Hg  0.000  0.000  0.994
Cl  0.333  0.667  0.632
Sn  0.667  0.333  0.374

Entry 3:
Compound: Cs2HoGaSe4
Source: the Alexandria database
Functional: GGA-PBE
Structure: relaxed

uncorrected formation energy: -1264.1 meV/atom
VASP energy: -4.170 eV per atom
mass density: 4.2 g/cm3

Cell lengths 6.379, 8.219, 13.729 Å; angles 84.83, 76.57, 67.16 degrees
Atoms (fractional coordinates):
Se  0.322  0.807  0.105
Se  0.879  0.693  0.605
Se  0.573  0.193  0.105
Se  0.177  0.307  0.395
Se  0.428  0.693  0.395
Se  0.871  0.807  0.895
Se  0.234  0.193  0.895
Se  0.516  0.307  0.605
Ho  0.000  0.000  0.000
Ho  0.750  0.500  0.500
Cs  0.930  0.500  0.141
Cs  0.570  0.500  0.859
Cs  0.820  0.000  0.359
Cs  0.180  0.000  0.641
Ga  0.500  0.000  0.000
Ga  0.250  0.500  0.500